! NdInPtAu | Alexandria | PBE | optimized geometry; values from VASP
! * formation enthalpy at 0 K: -0.730 eV/atom
! * density of states at the Fermi level: 2.25 states/eV per cell
&SYSTEM
  ibrav = 0, nat = 4, ntyp = 4
/
ATOMIC_SPECIES
Nd 144.24 Nd.upf
In 114.82 In.upf
Pt 195.08 Pt.upf
Au 196.97 Au.upf
ATOMIC_POSITIONS crystal
Nd 0.000 0.000 0.000
In 0.500 0.500 0.500
Pt 0.750 0.750 0.750
Au 0.250 0.250 0.250
CELL_PARAMETERS angstrom
0.000 3.525 3.525
3.525 0.000 3.525
3.525 3.525 0.000